No. 1
PBE-GGA RbAg2Pb2, relaxed; DFT formation energy = 25 kJ/mol of formula units; energy above the lowest structure with this stoichiometry = 48 meV per atom; density of states at the Fermi level = 0.391 states/eV per atom; space-group type = P4/mbm (127); total magnetic moment = 0.00 μB/f.u.; E_tot = -2.77 eV/atom
1.0
9.2885 0.0000 0.0000
0.0000 9.2885 0.0000
0.0000 0.0000 3.3056
Rb Ag Pb
2 4 4
Cartesian
0.0000 0.0000 0.0000 Rb
4.6443 4.6443 0.0000 Rb
1.4130 3.2313 1.6528 Ag
3.2313 7.8755 1.6528 Ag
6.0572 1.4130 1.6528 Ag
7.8755 6.0572 1.6528 Ag
1.2763 5.9205 0.0000 Pb
3.3680 1.2763 0.0000 Pb
5.9205 8.0122 0.0000 Pb
8.0122 3.3680 0.0000 Pb



No. 2
PBE-GGA AlPtBr2, relaxed; energy above the lowest structure with this stoichiometry = 745 meV per atom; density of states at the Fermi level = 0.485 states/eV per atom; energy relative to the elements, uncorrected = 25.2 kJ per mole of atoms; space-group type = Cmmm (65); total magnetic moment = 0.00 μB/f.u.; E_tot = -3.02 eV/atom
1.0
3.9861 0.0000 0.0000
0.0000 7.0358 0.0000
0.0000 0.0000 7.3082
Al Pt Br
2 2 4
Cartesian
0.0000 0.0000 0.0000 Al
1.9930 3.5179 0.0000 Al
0.0000 0.0000 3.6541 Pt
1.9930 3.5179 3.6541 Pt
0.0000 3.5179 1.9870 Br
0.0000 3.5179 5.3212 Br
1.9930 0.0000 1.9870 Br
1.9930 0.0000 5.3212 Br



No. 3
PBE-GGA Mn2InHg2, relaxed; DFT formation energy = 239 kJ/mol of formula units; energy above the lowest structure with this stoichiometry = 166 meV per atom; density of states at the Fermi level = 0.989 states/eV per atom; space-group type = I4/mmm (139); total magnetic moment = 8.00 μB/f.u.; E_tot = -3.84 eV/atom
1.0
4.1384 0.0000 0.0000
0.0000 4.1384 0.0000
0.0000 0.0000 13.0305
Mn In Hg
4 2 4
Cartesian
0.0000 0.0000 1.2682 Mn
0.0000 0.0000 11.7622 Mn
2.0692 2.0692 5.2470 Mn
2.0692 2.0692 7.7834 Mn
0.0000 0.0000 6.5152 In
2.0692 2.0692 0.0000 In
0.0000 2.0692 3.2576 Hg
0.0000 2.0692 9.7728 Hg
2.0692 0.0000 3.2576 Hg
2.0692 0.0000 9.7728 Hg



No. 4
PBE-GGA LiAgSnCl4, relaxed; density of states at the Fermi level = 0.000 states/eV per atom; energy relative to the elements, uncorrected = -100.9 kJ per mole of atoms; space-group type = Imma (74); total magnetic moment = 0.00 μB/f.u.; E_tot = -3.35 eV/atom
1.0
-3.9486 4.0609 5.7014
3.9486 -4.0609 5.7014
3.9486 4.0609 -5.7014
Li Ag Sn Cl
2 2 2 8
Cartesian
0.0000 2.0304 1.5961 Li
3.9486 2.0304 4.1053 Li
1.9743 2.0304 -2.8507 Ag
1.9743 -2.0304 2.8507 Ag
3.9486 0.0000 0.0000 Sn
0.0000 0.0000 5.7014 Sn
3.9486 3.9849 -2.8507 Cl
3.9486 -0.0759 2.8507 Cl
1.9215 2.0304 0.0625 Cl
2.0271 -2.0304 5.7639 Cl
1.9215 6.0913 -0.0625 Cl
2.0271 2.0304 5.6389 Cl
0.0000 4.1368 2.8507 Cl
0.0000 0.0759 8.5520 Cl



No. 5
PBE-GGA Ba3Li8Ag, relaxed; DFT formation energy = 51 kJ/mol of formula units; density of states at the Fermi level = 0.895 states/eV per atom; space-group type = R3m (160); total magnetic moment = 0.00 μB/f.u.; E_tot = -1.95 eV/atom
1.0
3.1660 1.8279 10.2079
-3.1660 1.8279 10.2079
0.0000 -3.6558 10.2079
Ba Li Ag
3 8 1
Cartesian
0.0000 0.0000 0.0000 Ba
0.0000 0.0000 4.0630 Ba
0.0000 0.0000 15.9387 Ba
-1.6490 -0.9521 12.1805 Li
0.0000 -1.7540 7.3746 Li
-1.5190 0.8770 7.3746 Li
0.0000 0.0000 9.7861 Li
1.5190 0.8770 7.3746 Li
1.6490 -0.9521 12.1805 Li
0.0000 1.9041 12.1805 Li
0.0000 0.0000 25.2395 Li
0.0000 0.0000 19.8382 Ag



No. 6
PBE-GGA NbPt6Rh, relaxed; DFT formation energy = 191 kJ/mol of formula units; density of states at the Fermi level = 1.173 states/eV per atom; space-group type = R-3m (166); total magnetic moment = 0.00 μB/f.u.; E_tot = -6.46 eV/atom
1.0
3.6028 2.0801 3.2856
-3.6028 2.0801 3.2856
0.0000 -4.1601 3.2856
Nb Pt Rh
1 6 1
Cartesian
0.0000 0.0000 0.0000 Nb
0.0000 -1.5650 2.8717 Pt
-1.3553 0.7825 2.8717 Pt
-1.3553 -0.7825 6.9852 Pt
1.3553 0.7825 2.8717 Pt
1.3553 -0.7825 6.9852 Pt
0.0000 1.5650 6.9852 Pt
0.0000 0.0000 4.9284 Rh



No. 7
PBE-GGA Sr4Cd6F19, relaxed; density of states at the Fermi level = 0.035 states/eV per atom; energy relative to the elements, uncorrected = -268.1 kJ per mole of atoms; space-group type = I23 (197); total magnetic moment = 0.00 μB/f.u.; E_tot = -4.43 eV/atom
1.0
-5.0134 5.0134 5.0134
5.0134 -5.0134 5.0134
5.0134 5.0134 -5.0134
Sr Cd F
4 6 19
Cartesian
3.5530 3.5530 -3.5530 Sr
3.5530 -3.5530 3.5530 Sr
1.4604 1.4604 1.4604 Sr
-3.5530 3.5530 3.5530 Sr
5.0134 0.0000 1.5950 Cd
5.0134 3.4184 0.0000 Cd
1.5950 5.0134 0.0000 Cd
3.4184 0.0000 5.0134 Cd
0.0000 1.5950 5.0134 Cd
0.0000 5.0134 3.4184 Cd
0.0000 0.0000 0.0000 F
3.1746 0.0000 0.0000 F
6.8522 0.0000 0.0000 F
4.4130 2.1514 -1.7794 F
6.7928 -0.6004 2.8620 F
2.1514 -1.7794 4.4130 F
0.0000 3.1746 0.0000 F
0.0000 0.0000 3.1746 F
3.2340 0.6004 2.8620 F
2.8620 3.2340 0.6004 F
5.6138 2.1514 1.7794 F
0.6004 2.8620 3.2340 F
2.8620 6.7928 -0.6004 F
-1.7794 4.4130 2.1514 F
0.0000 6.8522 0.0000 F
0.0000 0.0000 6.8522 F
2.1514 1.7794 5.6138 F
1.7794 5.6138 2.1514 F
-0.6004 2.8620 6.7928 F



No. 8
PBE-GGA TbNdTmAg, relaxed; DFT formation energy = 19 kJ/mol of formula units; energy above the lowest structure with this stoichiometry = 185 meV per atom; density of states at the Fermi level = 0.887 states/eV per atom; space-group type = F-43m (216); total magnetic moment = 0.00 μB/f.u.; E_tot = -4.13 eV/atom
1.0
7.6633 0.0000 0.0000
0.0000 7.6633 0.0000
0.0000 0.0000 7.6633
Tb Nd Tm Ag
4 4 4 4
Cartesian
0.0000 0.0000 0.0000 Tb
0.0000 3.8317 3.8317 Tb
3.8317 0.0000 3.8317 Tb
3.8317 3.8317 0.0000 Tb
0.0000 0.0000 3.8317 Nd
0.0000 3.8317 0.0000 Nd
3.8317 0.0000 0.0000 Nd
3.8317 3.8317 3.8317 Nd
1.9158 1.9158 5.7475 Tm
1.9158 5.7475 1.9158 Tm
5.7475 1.9158 1.9158 Tm
5.7475 5.7475 5.7475 Tm
1.9158 1.9158 1.9158 Ag
1.9158 5.7475 5.7475 Ag
5.7475 1.9158 5.7475 Ag
5.7475 5.7475 1.9158 Ag



No. 9
PBE-GGA AgIr2W, relaxed; DFT formation energy = 225 kJ/mol of formula units; energy above the lowest structure with this stoichiometry = 579 meV per atom; density of states at the Fermi level = 1.557 states/eV per atom; space-group type = F-43m (216); total magnetic moment = 0.00 μB/f.u.; E_tot = -7.80 eV/atom
1.0
6.3102 0.0000 0.0000
0.0000 6.3102 0.0000
0.0000 0.0000 6.3102
Ag Ir W
4 8 4
Cartesian
0.0000 0.0000 0.0000 Ag
0.0000 3.1551 3.1551 Ag
3.1551 0.0000 3.1551 Ag
3.1551 3.1551 0.0000 Ag
0.0000 0.0000 3.1551 Ir
0.0000 3.1551 0.0000 Ir
1.5775 1.5775 1.5775 Ir
1.5775 4.7326 4.7326 Ir
3.1551 0.0000 0.0000 Ir
3.1551 3.1551 3.1551 Ir
4.7326 1.5775 4.7326 Ir
4.7326 4.7326 1.5775 Ir
1.5775 1.5775 4.7326 W
1.5775 4.7326 1.5775 W
4.7326 1.5775 1.5775 W
4.7326 4.7326 4.7326 W



No. 10
PBE-GGA GaBr3, relaxed; density of states at the Fermi level = 0.099 states/eV per atom; energy relative to the elements, uncorrected = -24.7 kJ per mole of atoms; space-group type = I-42d (122); total magnetic moment = 0.00 μB/f.u.; E_tot = -2.27 eV/atom
1.0
7.7579 0.0000 0.0000
0.0000 7.7579 0.0000
0.0000 0.0000 7.9963
Ga Br
4 12
Cartesian
0.0000 0.0000 0.0000 Ga
0.0000 3.8790 1.9991 Ga
3.8790 0.0000 5.9972 Ga
3.8790 3.8790 3.9982 Ga
0.0000 0.0000 3.9982 Br
0.0000 3.8790 5.9972 Br
1.2607 5.8184 0.9995 Br
1.9395 1.2607 6.9968 Br
1.9395 2.6183 2.9986 Br
2.6183 5.8184 4.9977 Br
3.8790 0.0000 1.9991 Br
3.8790 3.8790 0.0000 Br
5.1397 1.9395 4.9977 Br
5.8184 5.1397 2.9986 Br
5.8184 6.4972 6.9968 Br
6.4972 1.9395 0.9995 Br



No. 11
PBE-GGA Te2IClO, relaxed; energy above the lowest structure with this stoichiometry = 0 meV per atom; density of states at the Fermi level = 0.875 states/eV per atom; energy relative to the elements, uncorrected = 33.9 kJ per mole of atoms; space-group type = P4/mmm (123); total magnetic moment = 0.00 μB/f.u.; E_tot = -2.58 eV/atom
1.0
4.8570 0.0000 0.0000
0.0000 4.8570 0.0000
0.0000 0.0000 5.1376
Te I Cl O
2 1 1 1
Cartesian
0.0000 2.4285 0.0000 Te
2.4285 0.0000 0.0000 Te
0.0000 0.0000 2.5688 I
2.4285 2.4285 2.5688 Cl
0.0000 0.0000 0.0000 O



No. 12
PBE-GGA PrGaSi, relaxed; density of states at the Fermi level = 0.024 states/eV per atom; energy relative to the elements, uncorrected = -67.8 kJ per mole of atoms; space-group type = I4_1md (109); total magnetic moment = 0.00 μB/f.u.; E_tot = -5.11 eV/atom
1.0
4.2518 0.0000 0.0000
0.0000 4.2518 0.0000
0.0000 0.0000 14.3620
Pr Ga Si
4 4 4
Cartesian
0.0000 0.0000 0.0000 Pr
0.0000 2.1259 3.5905 Pr
2.1259 0.0000 10.7715 Pr
2.1259 2.1259 7.1810 Pr
0.0000 0.0000 5.9834 Ga
0.0000 2.1259 9.5739 Ga
2.1259 0.0000 2.3928 Ga
2.1259 2.1259 13.1644 Ga
0.0000 0.0000 8.3825 Si
0.0000 2.1259 11.9730 Si
2.1259 0.0000 4.7920 Si
2.1259 2.1259 1.2015 Si



No. 13
PBE-GGA Nd2Ga3Si, relaxed; density of states at the Fermi level = 0.426 states/eV per atom; energy relative to the elements, uncorrected = -68.5 kJ per mole of atoms; space-group type = Fmmm (69); total magnetic moment = 0.00 μB/f.u.; E_tot = -4.72 eV/atom
1.0
0.0000 4.2778 7.2981
4.2207 0.0000 7.2981
4.2207 4.2778 0.0000
Nd Ga Si
4 6 2
Cartesian
4.2207 2.1120 7.2981 Nd
2.1103 2.1389 3.6491 Nd
6.3310 6.4168 10.9472 Nd
4.2207 6.4437 7.2981 Nd
6.3398 4.2778 6.0696 Ga
4.2207 4.2778 4.8498 Ga
6.3398 4.2778 8.5266 Ga
2.1015 4.2778 6.0696 Ga
4.2207 4.2778 9.7464 Ga
2.1015 4.2778 8.5266 Ga
4.2207 4.2778 2.4354 Si
4.2207 4.2778 12.1608 Si



No. 14
PBE-GGA K3Dy2InS6, relaxed; density of states at the Fermi level = 0.000 states/eV per atom; energy relative to the elements, uncorrected = -148.1 kJ per mole of atoms; space-group type = C2/m (12); total magnetic moment = 0.00 μB/f.u.; E_tot = -4.87 eV/atom
1.0
3.4748 -6.0190 0.0000
3.4748 6.0190 0.0000
-2.3168 0.0000 7.3903
K Dy In S
3 2 1 6
Cartesian
0.0000 0.0000 0.0000 K
3.4748 2.0095 0.0000 K
3.4748 -2.0095 0.0000 K
2.3164 4.0135 3.6952 Dy
2.3164 -4.0135 3.6952 Dy
2.3164 0.0000 3.6952 In
1.1790 1.9709 2.2112 S
0.0406 0.0000 5.1795 S
1.1790 -1.9709 2.2112 S
3.4539 1.9709 5.1791 S
4.5922 0.0000 2.2108 S
3.4539 -1.9709 5.1791 S



No. 15
PBE-GGA TbYTm2Sc2, relaxed; DFT formation energy = 44 kJ/mol of formula units; density of states at the Fermi level = 1.992 states/eV per atom; space-group type = Pnnm (58); total magnetic moment = 0.00 μB/f.u.; E_tot = -5.37 eV/atom
1.0
6.7802 0.0000 0.0000
0.0000 9.3924 0.0000
0.0000 0.0000 5.4337
Tb Y Tm Sc
2 2 4 4
Cartesian
0.0000 0.0000 0.0000 Tb
3.3901 4.6962 2.7168 Tb
0.0000 4.6962 2.7168 Y
3.3901 0.0000 0.0000 Y
1.6980 1.5666 2.7168 Tm
1.6921 6.2628 0.0000 Tm
5.0881 3.1296 0.0000 Tm
5.0822 7.8257 2.7168 Tm
1.6972 3.1332 0.0000 Sc
1.6929 7.8293 2.7168 Sc
5.0873 1.5630 2.7168 Sc
5.0830 6.2592 0.0000 Sc



No. 16
PBE-GGA TiB2C, relaxed; DFT formation energy = 89 kJ/mol of formula units; density of states at the Fermi level = 0.057 states/eV per atom; space-group type = I-42d (122); total magnetic moment = 0.00 μB/f.u.; E_tot = -7.39 eV/atom
1.0
5.3437 0.0000 0.0000
0.0000 5.3437 0.0000
0.0000 0.0000 4.6988
Ti B C
4 8 4
Cartesian
0.0000 0.0000 0.0000 Ti
0.0000 2.6719 1.1747 Ti
2.6719 0.0000 3.5241 Ti
2.6719 2.6719 2.3494 Ti
0.8031 4.0078 2.9368 B
1.3359 0.8031 1.7621 B
1.3359 1.8688 4.1115 B
1.8688 4.0078 0.5874 B
3.4750 1.3359 0.5874 B
4.0078 3.4750 4.1115 B
4.0078 4.5406 1.7621 B
4.5406 1.3359 2.9368 B
0.0000 0.0000 2.3494 C
0.0000 2.6719 3.5241 C
2.6719 0.0000 1.1747 C
2.6719 2.6719 0.0000 C



No. 17
PBE-GGA NdMgBe2Pd5, relaxed; DFT formation energy = -502 kJ/mol of formula units; density of states at the Fermi level = 0.344 states/eV per atom; space-group type = P4/mmm (123); total magnetic moment = 0.00 μB/f.u.; E_tot = -5.00 eV/atom
1.0
4.4196 0.0000 0.0000
0.0000 4.4196 0.0000
0.0000 0.0000 7.2887
Nd Mg Be Pd
1 1 2 5
Cartesian
0.0000 0.0000 0.0000 Nd
0.0000 0.0000 3.6443 Mg
2.2098 2.2098 2.4896 Be
2.2098 2.2098 4.7991 Be
0.0000 2.2098 2.0573 Pd
0.0000 2.2098 5.2313 Pd
2.2098 0.0000 2.0573 Pd
2.2098 0.0000 5.2313 Pd
2.2098 2.2098 0.0000 Pd



No. 18
PBE-GGA MgNiW, relaxed; DFT formation energy = 69 kJ/mol of formula units; energy above the lowest structure with this stoichiometry = 152 meV per atom; density of states at the Fermi level = 0.702 states/eV per atom; space-group type = Pnma (62); total magnetic moment = 0.00 μB/f.u.; E_tot = -6.54 eV/atom
1.0
4.9617 0.0000 0.0000
0.0000 4.4530 0.0000
0.0000 0.0000 8.0815
Mg Ni W
4 4 4
Cartesian
0.7387 1.1132 0.3735 Mg
1.7422 3.3397 4.4143 Mg
3.2195 1.1132 3.6672 Mg
4.2231 3.3397 7.7079 Mg
0.7703 1.1132 2.9297 Ni
1.7106 3.3397 6.9705 Ni
3.2512 1.1132 1.1110 Ni
4.1914 3.3397 5.1518 Ni
0.3848 1.1132 5.6120 W
2.0961 3.3397 1.5713 W
2.8656 1.1132 6.5102 W
4.5770 3.3397 2.4695 W



No. 19
PBE-GGA Y2SiSe, relaxed; energy above the lowest structure with this stoichiometry = 343 meV per atom; density of states at the Fermi level = 0.398 states/eV per atom; energy relative to the elements, uncorrected = -96.7 kJ per mole of atoms; space-group type = P2/m (10); total magnetic moment = 0.00 μB/f.u.; E_tot = -6.46 eV/atom
1.0
3.5443 0.0000 0.0000
0.0000 3.5308 0.0000
-1.1021 0.0000 7.3665
Y Si Se
2 1 1
Cartesian
-0.1589 0.0000 1.8846 Y
2.6012 0.0000 5.4819 Y
1.2211 1.7654 3.6832 Si
1.7722 1.7654 0.0000 Se